Record 1
VASP calculation (meta-GGA SCAN) on a PBEsol-optimized structure of Hf2TaGa2.

Geometry as POSCAR:
```
Hf2TaGa2
1.0
-0.264 0.504 -3.573
6.687 -1.935 -0.768
-2.018 -6.660 -0.791
Hf Ga Ta
4 4 2
Direct
0.500 0.178 0.678
0.500 0.678 0.822
0.500 0.822 0.322
0.500 0.322 0.178
0.000 0.375 0.875
0.000 0.875 0.625
0.000 0.625 0.125
0.000 0.125 0.375
0.000 0.000 0.000
0.000 0.500 0.500
```

## Properties
The value obtained for the formation energy is -0.4828 eV per atom. As for the crystal system: tetragonal.


Record 2
VASP calculation (meta-GGA SCAN) on a PBEsol-optimized structure of CsGeOs3.

Geometry as POSCAR:
```
CsGeOs3
1.0
4.703 0.000 0.000
0.000 4.703 0.000
0.000 0.000 4.703
Cs Ge Os
1 1 3
Direct
0.500 0.500 0.500
0.000 0.000 0.000
0.000 0.500 0.000
0.000 0.000 0.500
0.500 0.000 0.000
```

## Properties
The value obtained for the formation energy is 2.0845 eV per atom. As for the crystal system: cubic.


Record 3
VASP calculation (meta-GGA SCAN) on a PBEsol-optimized structure of Mo3Ru2.

Geometry as POSCAR:
```
Mo3Ru2
1.0
4.187 0.000 0.000
-2.094 3.626 0.000
0.000 0.000 5.306
Mo Ru
3 2
Direct
0.000 0.000 0.000
0.333 0.667 0.370
0.667 0.333 0.630
0.333 0.667 0.851
0.667 0.333 0.149
```

## Properties
The value obtained for the formation energy is 0.5233 eV per atom. As for the crystal system: trigonal.


Record 4
VASP calculation (meta-GGA SCAN) on a PBEsol-optimized structure of Ca3ZrRh.

Geometry as POSCAR:
```
Ca3ZrRh
1.0
-0.619 3.249 -4.100
0.738 -4.033 -3.308
-5.179 -0.963 0.019
Ca Rh Zr
3 1 1
Direct
0.000 0.500 0.000
0.000 0.000 0.500
0.500 0.000 0.000
0.500 0.500 0.500
0.000 0.000 0.000
```

## Properties
The value obtained for the formation energy is 1.4942 eV per atom. As for the crystal system: cubic.


Record 5
VASP calculation (meta-GGA SCAN) on a PBEsol-optimized structure of SiPbW2.

Geometry as POSCAR:
```
SiPbW2
1.0
-1.122 2.911 1.087
-3.107 -2.038 2.251
2.894 -0.282 3.739
Pb Si W
1 1 2
Direct
0.500 0.500 0.000
0.000 0.500 0.500
0.000 0.000 0.000
0.500 0.000 0.500
```

## Properties
Its raw formation energy is 1055 meV/atom. As for the crystal system: orthorhombic.


Record 6
VASP calculation (meta-GGA SCAN) on a PBEsol-optimized structure of NbSb2F.

Geometry as POSCAR:
```
NbSb2F
1.0
-1.188 0.158 4.604
2.239 -2.795 3.132
2.999 1.902 3.167
Sb Nb F
2 1 1
Direct
0.250 0.250 0.250
0.750 0.750 0.750
0.500 0.500 0.500
0.000 0.000 0.000
```

## Properties
Its raw formation energy is -330 meV/atom. As for the crystal system: cubic.